# 1
MgMnBr2: relaxed, PBE.

Results
excess energy over the best structure of this formula in the dataset = 0.000 eV/atom

Lattice parameters (Å, degrees): 9.592 9.592 9.592 22.43 22.43 22.43
Fractional coordinates of all 4 atoms:
Mg (0.000, 0.000, 0.000)
Mn (0.252, 0.252, 0.252)
Br (0.530, 0.530, 0.530)
Br (0.723, 0.723, 0.723)

# 2
HfTiAl2: relaxed, PBE.

Results
excess energy over the best structure of this formula in the dataset = 0.019 eV/atom
ΔH_f (0 K) = -1.4 eV/f.u.

Lattice parameters (Å, degrees): 2.935 2.935 8.136 90.00 90.00 90.00
Fractional coordinates of all 4 atoms:
Hf (0.000, 0.000, 0.000)
Ti (0.000, 0.000, 0.500)
Al (0.500, 0.500, 0.261)
Al (0.500, 0.500, 0.739)

# 3
Pr3Sm: relaxed, PBE.

Results
excess energy over the best structure of this formula in the dataset = 0.000 eV/atom
ΔH_f (0 K) = 0.1 eV/f.u.

Lattice parameters (Å, degrees): 5.220 5.220 5.220 90.00 90.00 90.00
Fractional coordinates of all 4 atoms:
Pr (0.000, 0.000, 0.500)
Pr (0.000, 0.500, 0.000)
Pr (0.500, 0.000, 0.000)
Sm (0.500, 0.500, 0.500)

# 4
ZrCr2Pt: relaxed, PBE.

Results
ΔH_f (0 K) = -0.8 eV/f.u.

Lattice parameters (Å, degrees): 2.985 2.985 6.942 90.00 90.00 90.00
Fractional coordinates of all 4 atoms:
Zr (0.000, 0.000, 0.000)
Cr (0.000, 0.000, 0.452)
Cr (0.500, 0.500, 0.277)
Pt (0.500, 0.500, 0.704)

| no. | energy (eV per cell) |
| --- | --- |
| 1 | -16.27 |
| 2 | -26.77 |
| 3 | -19.01 |
| 4 | -34.60 |